# SCAN FeTe2Cl, PBEsol geometry
# Raw formation energy: 428 meV/atom
# Electronic total energy: -24.724 eV/atom
# Offset from the most stable computed form: 2.381 eV per formula unit
data_FeTe2Cl
_chemical_formula_sum 'Fe4 Te8 Cl4'
_symmetry_space_group_name_H-M 'F -4 3 m'
_symmetry_Int_Tables_number 216
_symmetry_space_group_name_Hall 'F -4 2 3'
_cell_length_a 7.001
_cell_length_b 7.001
_cell_length_c 7.001
_cell_angle_alpha 90.00
_cell_angle_beta 90.00
_cell_angle_gamma 90.00
loop_
_atom_site_label
_atom_site_fract_x
_atom_site_fract_y
_atom_site_fract_z
Fe1 0.000 0.000 0.000
Te1 0.000 0.000 0.500
Te2 0.250 0.250 0.750
Cl1 0.250 0.250 0.250

# SCAN FeTeCl, PBEsol geometry
# Raw formation energy: 903 meV/atom
# Electronic total energy: -20.216 eV/atom
data_FeTeCl
_chemical_formula_sum 'Fe4 Te4 Cl4'
_symmetry_space_group_name_H-M 'F -4 3 m'
_symmetry_Int_Tables_number 216
_symmetry_space_group_name_Hall 'F -4 2 3'
_cell_length_a 6.522
_cell_length_b 6.522
_cell_length_c 6.522
_cell_angle_alpha 90.00
_cell_angle_beta 90.00
_cell_angle_gamma 90.00
loop_
_atom_site_label
_atom_site_fract_x
_atom_site_fract_y
_atom_site_fract_z
Fe1 0.000 0.000 0.000
Te1 0.000 0.000 0.500
Cl1 0.250 0.250 0.250

# SCAN FeTe2Cl, PBEsol geometry
# Raw formation energy: 357 meV/atom
# Electronic total energy: -24.795 eV/atom
# Offset from the most stable computed form: 2.096 eV per formula unit
data_FeTe2Cl
_chemical_formula_sum 'Fe1 Te2 Cl1'
_symmetry_space_group_name_H-M 'P 4/m m m'
_symmetry_Int_Tables_number 123
_symmetry_space_group_name_Hall '-P 4 2'
_cell_length_a 4.152
_cell_length_b 4.152
_cell_length_c 5.505
_cell_angle_alpha 90.00
_cell_angle_beta 90.00
_cell_angle_gamma 90.00
loop_
_atom_site_label
_atom_site_fract_x
_atom_site_fract_y
_atom_site_fract_z
Fe1 0.000 0.000 0.000
Te1 0.000 0.500 0.500
Cl1 0.500 0.500 0.000

# SCAN FeTeCl7, PBEsol geometry
# Raw formation energy: -818 meV/atom
# Electronic total energy: -13.177 eV/atom
data_FeTeCl7
_chemical_formula_sum 'Fe2 Te2 Cl14'
_symmetry_space_group_name_H-M 'P 1'
_symmetry_Int_Tables_number 1
_symmetry_space_group_name_Hall 'P 1'
_cell_length_a 6.528
_cell_length_b 8.457
_cell_length_c 10.080
_cell_angle_alpha 85.57
_cell_angle_beta 76.49
_cell_angle_gamma 82.93
loop_
_atom_site_label
_atom_site_fract_x
_atom_site_fract_y
_atom_site_fract_z
Fe1 0.000 0.000 0.000
Fe2 0.260 0.432 0.434
Te1 0.455 0.368 0.973
Te2 0.709 0.797 0.416
Cl1 0.053 0.637 0.531
Cl2 0.169 0.384 0.245
Cl3 0.169 0.490 0.886
Cl4 0.222 0.228 0.572
Cl5 0.331 0.058 0.943
Cl6 0.438 0.911 0.311
Cl7 0.495 0.789 0.636
Cl8 0.574 0.608 0.008
Cl9 0.593 0.482 0.387
Cl10 0.684 0.336 0.759
Cl11 0.792 0.206 0.094
Cl12 0.832 0.038 0.444
Cl13 0.913 0.926 0.826
Cl14 0.995 0.796 0.151

# SCAN FeTeCl2, PBEsol geometry
# Raw formation energy: 391 meV/atom
# Electronic total energy: -17.444 eV/atom
# Offset from the most stable computed form: 3.273 eV per formula unit
data_FeTeCl2
_chemical_formula_sum 'Fe1 Te1 Cl2'
_symmetry_space_group_name_H-M 'P 4/m m m'
_symmetry_Int_Tables_number 123
_symmetry_space_group_name_Hall '-P 4 2'
_cell_length_a 5.025
_cell_length_b 5.025
_cell_length_c 3.186
_cell_angle_alpha 90.00
_cell_angle_beta 90.00
_cell_angle_gamma 90.00
loop_
_atom_site_label
_atom_site_fract_x
_atom_site_fract_y
_atom_site_fract_z
Fe1 0.000 0.000 0.000
Te1 0.500 0.500 0.000
Cl1 0.000 0.500 0.500

# SCAN TiFeCl3, PBEsol geometry
# Raw formation energy: -617 meV/atom
# Electronic total energy: -12.236 eV/atom
data_TiFeCl3
_chemical_formula_sum 'Ti1 Fe1 Cl3'
_symmetry_space_group_name_H-M 'P m -3 m'
_symmetry_Int_Tables_number 221
_symmetry_space_group_name_Hall '-P 4 2 3'
_cell_length_a 4.808
_cell_length_b 4.808
_cell_length_c 4.808
_cell_angle_alpha 90.00
_cell_angle_beta 90.00
_cell_angle_gamma 90.00
loop_
_atom_site_label
_atom_site_fract_x
_atom_site_fract_y
_atom_site_fract_z
Ti1 0.000 0.000 0.000
Fe1 0.500 0.500 0.500
Cl1 0.000 0.000 0.500

# SCAN Tl2FeCl, PBEsol geometry
# Raw formation energy: -47 meV/atom
# Electronic total energy: -42.753 eV/atom
# Offset from the most stable computed form: 0.000 eV per formula unit
data_Tl2FeCl
_chemical_formula_sum 'Tl4 Fe2 Cl2'
_symmetry_space_group_name_H-M 'I m m 2'
_symmetry_Int_Tables_number 44
_symmetry_space_group_name_Hall 'I 2 -2'
_cell_length_a 3.140
_cell_length_b 5.383
_cell_length_c 10.304
_cell_angle_alpha 90.00
_cell_angle_beta 90.00
_cell_angle_gamma 90.00
loop_
_atom_site_label
_atom_site_fract_x
_atom_site_fract_y
_atom_site_fract_z
Tl1 0.000 0.000 0.000
Tl2 0.000 0.500 0.207
Fe1 0.000 0.500 0.730
Cl1 0.000 0.000 0.397

# SCAN TlFeCl2, PBEsol geometry
# Raw formation energy: -648 meV/atom
# Electronic total energy: -27.259 eV/atom
# Offset from the most stable computed form: 0.000 eV per formula unit
data_TlFeCl2
_chemical_formula_sum 'Tl2 Fe2 Cl4'
_symmetry_space_group_name_H-M 'I m m m'
_symmetry_Int_Tables_number 71
_symmetry_space_group_name_Hall '-I 2 2'
_cell_length_a 3.278
_cell_length_b 5.816
_cell_length_c 9.376
_cell_angle_alpha 90.00
_cell_angle_beta 90.00
_cell_angle_gamma 90.00
loop_
_atom_site_label
_atom_site_fract_x
_atom_site_fract_y
_atom_site_fract_z
Tl1 0.000 0.000 0.000
Fe1 0.000 0.000 0.500
Cl1 0.000 0.500 0.177

# SCAN Tl2FeCl, PBEsol geometry
# Raw formation energy: 79 meV/atom
# Electronic total energy: -42.627 eV/atom
# Offset from the most stable computed form: 0.505 eV per formula unit
data_Tl2FeCl
_chemical_formula_sum 'Tl4 Fe2 Cl2'
_symmetry_space_group_name_H-M 'I m m m'
_symmetry_Int_Tables_number 71
_symmetry_space_group_name_Hall '-I 2 2'
_cell_length_a 3.040
_cell_length_b 3.895
_cell_length_c 15.229
_cell_angle_alpha 90.00
_cell_angle_beta 90.00
_cell_angle_gamma 90.00
loop_
_atom_site_label
_atom_site_fract_x
_atom_site_fract_y
_atom_site_fract_z
Tl1 0.000 0.000 0.174
Fe1 0.000 0.500 0.500
Cl1 0.000 0.500 0.000

# SCAN Tl2FeCl, PBEsol geometry
# Raw formation energy: 20 meV/atom
# Electronic total energy: -42.686 eV/atom
# Offset from the most stable computed form: 0.267 eV per formula unit
data_Tl2FeCl
_chemical_formula_sum 'Tl2 Fe1 Cl1'
_symmetry_space_group_name_H-M 'P 4 m m'
_symmetry_Int_Tables_number 99
_symmetry_space_group_name_Hall 'P 4 -2'
_cell_length_a 5.235
_cell_length_b 5.235
_cell_length_c 3.091
_cell_angle_alpha 90.00
_cell_angle_beta 90.00
_cell_angle_gamma 90.00
loop_
_atom_site_label
_atom_site_fract_x
_atom_site_fract_y
_atom_site_fract_z
Tl1 0.000 0.500 0.000
Fe1 0.000 0.000 0.510
Cl1 0.500 0.500 0.497

# SCAN TlFeCl2, PBEsol geometry
# Raw formation energy: -595 meV/atom
# Electronic total energy: -27.206 eV/atom
# Offset from the most stable computed form: 0.211 eV per formula unit
data_TlFeCl2
_chemical_formula_sum 'Tl2 Fe2 Cl4'
_symmetry_space_group_name_H-M 'A m m 2'
_symmetry_Int_Tables_number 38
_symmetry_space_group_name_Hall 'A 2 -2'
_cell_length_a 3.405
_cell_length_b 4.345
_cell_length_c 12.602
_cell_angle_alpha 90.00
_cell_angle_beta 90.00
_cell_angle_gamma 90.00
loop_
_atom_site_label
_atom_site_fract_x
_atom_site_fract_y
_atom_site_fract_z
Tl1 0.000 0.000 0.000
Fe1 0.500 0.000 0.805
Cl1 0.000 0.000 0.679
Cl2 0.500 0.000 0.361

# SCAN TlFeCl, PBEsol geometry
# Raw formation energy: 599 meV/atom
# Electronic total energy: -32.223 eV/atom
data_TlFeCl
_chemical_formula_sum 'Tl4 Fe4 Cl4'
_symmetry_space_group_name_H-M 'F -4 3 m'
_symmetry_Int_Tables_number 216
_symmetry_space_group_name_Hall 'F -4 2 3'
_cell_length_a 6.807
_cell_length_b 6.807
_cell_length_c 6.807
_cell_angle_alpha 90.00
_cell_angle_beta 90.00
_cell_angle_gamma 90.00
loop_
_atom_site_label
_atom_site_fract_x
_atom_site_fract_y
_atom_site_fract_z
Tl1 0.000 0.000 0.000
Fe1 0.250 0.250 0.750
Cl1 0.250 0.250 0.250

# SCAN FeWCl2, PBEsol geometry
# Raw formation energy: 579 meV/atom
# Electronic total energy: -25.364 eV/atom
# Offset from the most stable computed form: 1.779 eV per formula unit
data_FeWCl2
_chemical_formula_sum 'Fe2 W2 Cl4'
_symmetry_space_group_name_H-M 'C m m m'
_symmetry_Int_Tables_number 65
_symmetry_space_group_name_Hall '-C 2 2'
_cell_length_a 2.807
_cell_length_b 5.435
_cell_length_c 8.131
_cell_angle_alpha 90.00
_cell_angle_beta 90.00
_cell_angle_gamma 90.00
loop_
_atom_site_label
_atom_site_fract_x
_atom_site_fract_y
_atom_site_fract_z
Fe1 0.000 0.000 0.000
W1 0.000 0.000 0.500
Cl1 0.000 0.500 0.248

# SCAN FeW2Cl, PBEsol geometry
# Raw formation energy: 611 meV/atom
# Electronic total energy: -40.760 eV/atom
# Offset from the most stable computed form: 0.000 eV per formula unit
data_FeW2Cl
_chemical_formula_sum 'Fe3 W6 Cl3'
_symmetry_space_group_name_H-M 'R -3 m'
_symmetry_Int_Tables_number 166
_symmetry_space_group_name_Hall '-R 3 2"'
_cell_length_a 2.7991
_cell_length_b 2.7991
_cell_length_c 24.8933
_cell_angle_alpha 90.00
_cell_angle_beta 90.00
_cell_angle_gamma 120.00
loop_
_atom_site_label
_atom_site_fract_x
_atom_site_fract_y
_atom_site_fract_z
Fe1 0.0000 0.0000 0.0000
W1 0.0000 0.0000 0.2522
Cl1 0.0000 0.0000 0.5000

# SCAN FeWCl2, PBEsol geometry
# Raw formation energy: 1114 meV/atom
# Electronic total energy: -24.829 eV/atom
# Offset from the most stable computed form: 3.918 eV per formula unit
data_FeWCl2
_chemical_formula_sum 'Fe4 W4 Cl8'
_symmetry_space_group_name_H-M 'F m -3 m'
_symmetry_Int_Tables_number 225
_symmetry_space_group_name_Hall '-F 4 2 3'
_cell_length_a 5.975
_cell_length_b 5.975
_cell_length_c 5.975
_cell_angle_alpha 90.00
_cell_angle_beta 90.00
_cell_angle_gamma 90.00
loop_
_atom_site_label
_atom_site_fract_x
_atom_site_fract_y
_atom_site_fract_z
Fe1 0.000 0.000 0.000
W1 0.000 0.000 0.500
Cl1 0.250 0.250 0.250